No. 1
5
Lattice="5.0710 0.0000 0.0000 0.0000 5.0710 0.0000 0.0000 0.0000 5.1608" Properties=species:S:1:pos:R:3 comment="PBE LaAlCd2Ga, optimized geometry" total_energy_ev_per_atom=-2.63 sg=P4/mmm formation_energy_ev_per_atom=0.075 pbc="T T T"
La 0.0000 0.0000 0.0000
Al 2.5355 2.5355 0.0000
Cd 0.0000 2.5355 2.5804
Cd 2.5355 0.0000 2.5804
Ga 2.5355 2.5355 2.5804

No. 2
6
Lattice="3.7000 0.0000 0.0000 0.0000 3.7000 0.0000 0.0000 0.0000 13.0220" Properties=species:S:1:pos:R:3 comment="PBE NdHfTh, optimized geometry" total_energy_ev_per_atom=-7.27 polymorph_energy_ev_per_atom=0.000 sg=P4/nmm formation_energy_ev_per_atom=0.111 pbc="T T T"
Nd 0.9250 0.9250 1.4340
Nd 2.7750 2.7750 11.5880
Hf 0.9250 0.9250 5.7092
Hf 2.7750 2.7750 7.3128
Th 0.9250 0.9250 9.2705
Th 2.7750 2.7750 3.7515

No. 3
12
Lattice="4.2069 0.0000 0.0000 -2.1035 3.6433 0.0000 0.0000 0.0000 31.8268" Properties=species:S:1:pos:R:3 comment="PBE RbPuBr2, optimized geometry" total_energy_ev_per_atom=-5.72 sg=R-3m raw_formation_energy_ev_per_atom=-1.059 pbc="T T T"
Rb 0.0000 0.0000 0.0000
Rb 0.0000 2.4289 21.2179
Rb 2.1035 1.2144 10.6089
Pu 0.0000 0.0000 15.9134
Pu 0.0000 2.4289 5.3045
Pu 2.1035 1.2144 26.5224
Br 0.0000 0.0000 3.5065
Br 0.0000 0.0000 28.3203
Br 0.0000 2.4289 17.7114
Br 0.0000 2.4289 24.7244
Br 2.1035 1.2144 7.1024
Br 2.1035 1.2144 14.1154

No. 4
5
Lattice="6.0582 0.0000 0.0000 0.0000 6.0582 0.0000 0.0000 0.0000 4.8450" Properties=species:S:1:pos:R:3 comment="PBE SrCr2BCl, optimized geometry" total_energy_ev_per_atom=-3.80 sg=P4/mmm raw_formation_energy_ev_per_atom=2.093 pbc="T T T"
Sr 0.0000 0.0000 0.0000
Cr 0.0000 3.0291 0.0000
Cr 3.0291 0.0000 0.0000
B 0.0000 0.0000 2.4225
Cl 3.0291 3.0291 2.4225

No. 5
6
Lattice="0.0000 4.0031 4.0031 4.0031 0.0000 4.0031 4.0031 4.0031 0.0000" Properties=species:S:1:pos:R:3 comment="PBE BeIn4Tc, optimized geometry" total_energy_ev_per_atom=-3.22 sg=F-43m formation_energy_ev_per_atom=0.954 pbc="T T T"
Be 0.0000 0.0000 0.0000
In 5.0019 3.0043 3.0043
In 3.0043 5.0019 3.0043
In 3.0043 3.0043 5.0019
In 5.0019 5.0019 5.0019
Tc 2.0015 2.0015 2.0015

No. 6
16
Lattice="7.0918 0.0000 0.0000 0.0000 7.0918 0.0000 0.0000 0.0000 7.0918" Properties=species:S:1:pos:R:3 comment="PBE Tm2TlRu, optimized geometry" total_energy_ev_per_atom=-5.43 polymorph_energy_ev_per_atom=0.180 sg=Fm-3m formation_energy_ev_per_atom=-0.281 pbc="T T T"
Tm 1.7729 1.7729 1.7729
Tm 1.7729 1.7729 5.3188
Tm 1.7729 5.3188 1.7729
Tm 1.7729 5.3188 5.3188
Tm 5.3188 1.7729 1.7729
Tm 5.3188 1.7729 5.3188
Tm 5.3188 5.3188 1.7729
Tm 5.3188 5.3188 5.3188
Tl 0.0000 0.0000 0.0000
Tl 0.0000 3.5459 3.5459
Tl 3.5459 0.0000 3.5459
Tl 3.5459 3.5459 0.0000
Ru 0.0000 0.0000 3.5459
Ru 0.0000 3.5459 0.0000
Ru 3.5459 0.0000 0.0000
Ru 3.5459 3.5459 3.5459

No. 7
10
Lattice="5.7093 3.2962 5.3407 -5.7093 3.2962 5.3407 0.0000 -6.5925 5.3407" Properties=species:S:1:pos:R:3 comment="PBE Rb2Na3, optimized geometry" total_energy_ev_per_atom=-1.01 polymorph_energy_ev_per_atom=0.143 sg=R-3c formation_energy_ev_per_atom=0.170 pbc="T T T"
Rb 0.0000 0.0000 1.9797
Rb 0.0000 0.0000 6.0313
Rb 0.0000 0.0000 9.9907
Rb 0.0000 0.0000 14.0423
Na -3.8757 -0.1204 6.6758
Na -1.8336 -3.4166 9.3462
Na 2.0421 -3.2962 6.6758
Na -2.0421 3.2962 9.3462
Na 1.8336 3.4166 6.6758
Na 3.8757 0.1204 9.3462

No. 8
12
Lattice="9.9579 0.0000 0.0000 0.0000 6.1723 0.0000 -4.9041 0.0000 4.9797" Properties=species:S:1:pos:R:3 comment="PBE CaYRu, optimized geometry" total_energy_ev_per_atom=-5.98 polymorph_energy_ev_per_atom=0.040 sg=Cm formation_energy_ev_per_atom=-0.067 pbc="T T T"
Ca 0.0000 0.0000 0.0000
Ca -1.8139 0.0000 3.3781
Ca 4.9790 3.0861 0.0000
Ca 3.1650 3.0861 3.3781
Y -0.2188 3.0861 1.4037
Y 1.7620 0.0000 3.1138
Y 4.7602 0.0000 1.4037
Y 6.7410 3.0861 3.1138
Ru 2.3345 1.7791 0.8540
Ru 2.3345 4.3932 0.8540
Ru 7.3135 1.3070 0.8540
Ru 7.3135 4.8653 0.8540

No. 9
7
Lattice="6.9781 0.0000 0.0000 -3.4890 6.0432 0.0000 0.0000 0.0000 7.6968" Properties=species:S:1:pos:R:3 comment="PBE Ba4Li3, optimized geometry" total_energy_ev_per_atom=-1.83 sg=P6/mmm formation_energy_ev_per_atom=0.085 pbc="T T T"
Ba 0.0000 0.0000 1.8918
Ba 0.0000 0.0000 5.8050
Ba 0.0000 4.0288 3.8484
Ba 3.4890 2.0144 3.8484
Li -1.7445 3.0216 0.0000
Li 3.4890 0.0000 0.0000
Li 1.7445 3.0216 0.0000

No. 10
16
Lattice="9.2496 0.0000 0.0000 0.0000 9.2496 0.0000 0.0000 0.0000 9.2496" Properties=species:S:1:pos:R:3 comment="PBE Cs2CuPb, optimized geometry" total_energy_ev_per_atom=-1.94 polymorph_energy_ev_per_atom=0.318 sg=Fm-3m formation_energy_ev_per_atom=0.442 pbc="T T T"
Cs 2.3124 2.3124 2.3124
Cs 2.3124 2.3124 6.9372
Cs 2.3124 6.9372 2.3124
Cs 2.3124 6.9372 6.9372
Cs 6.9372 2.3124 2.3124
Cs 6.9372 2.3124 6.9372
Cs 6.9372 6.9372 2.3124
Cs 6.9372 6.9372 6.9372
Cu 0.0000 0.0000 0.0000
Cu 0.0000 4.6248 4.6248
Cu 4.6248 0.0000 4.6248
Cu 4.6248 4.6248 0.0000
Pb 0.0000 0.0000 4.6248
Pb 0.0000 4.6248 0.0000
Pb 4.6248 0.0000 0.0000
Pb 4.6248 4.6248 4.6248

No. 11
7
Lattice="1.4102 0.8142 15.8978 -1.4102 0.8142 15.8978 0.0000 -1.6284 15.8978" Properties=species:S:1:pos:R:3 comment="PBE FeAg2Pd4, optimized geometry" total_energy_ev_per_atom=-5.02 polymorph_energy_ev_per_atom=0.000 sg=R-3m formation_energy_ev_per_atom=-0.024 pbc="T T T"
Fe 0.0000 0.0000 0.0000
Ag 0.0000 0.0000 20.3532
Ag 0.0000 0.0000 27.3401
Pd 0.0000 0.0000 6.8024
Pd 0.0000 0.0000 13.8422
Pd 0.0000 0.0000 33.8511
Pd 0.0000 0.0000 40.8909

No. 12
5
Lattice="3.9684 0.0000 0.0000 0.0000 3.9684 0.0000 0.0000 0.0000 3.9684" Properties=species:S:1:pos:R:3 comment="PBE TlH3Cl, optimized geometry" total_energy_ev_per_atom=-2.30 polymorph_energy_ev_per_atom=0.929 sg=Pm-3m pbc="T T T"
Tl 0.0000 0.0000 0.0000
H 0.0000 0.0000 1.9842
H 0.0000 1.9842 0.0000
H 1.9842 0.0000 0.0000
Cl 1.9842 1.9842 1.9842

No. 13
11
Lattice="6.6591 -3.8017 0.0000 6.6591 3.8017 0.0000 -2.6015 0.0000 9.4192" Properties=species:S:1:pos:R:3 comment="PBE Cs5Ga4Sb2, optimized geometry" total_energy_ev_per_atom=-2.29 sg=C2/m raw_formation_energy_ev_per_atom=-0.049 pbc="T T T"
Cs 0.0000 0.0000 0.0000
Cs 3.6938 1.8658 5.9349
Cs 7.0229 1.8658 3.4843
Cs 3.6938 -1.8658 5.9349
Cs 7.0229 -1.8658 3.4843
Ga 1.2048 0.0000 9.3663
Ga 3.6386 0.0000 2.4586
Ga 7.0781 0.0000 6.9606
Ga 9.5119 0.0000 0.0529
Sb 0.3931 0.0000 6.9007
Sb 10.3236 0.0000 2.5185

No. 14
5
Lattice="4.0638 0.0000 0.0000 0.0000 4.0638 0.0000 0.0000 0.0000 4.0638" Properties=species:S:1:pos:R:3 comment="PBE OsCF3, optimized geometry" total_energy_ev_per_atom=-4.36 polymorph_energy_ev_per_atom=0.000 sg=Pm-3m raw_formation_energy_ev_per_atom=0.855 pbc="T T T"
Os 0.0000 0.0000 0.0000
C 2.0319 2.0319 2.0319
F 0.0000 0.0000 2.0319
F 0.0000 2.0319 0.0000
F 2.0319 0.0000 0.0000

No. 15
12
Lattice="-2.8012 2.8012 5.3430 2.8012 -2.8012 5.3430 2.8012 2.8012 -5.3430" Properties=species:S:1:pos:R:3 comment="PBE KTmCu2F8, optimized geometry" total_energy_ev_per_atom=-4.97 sg=I-4 raw_formation_energy_ev_per_atom=-2.572 pbc="T T T"
K 0.0000 0.0000 0.0000
Tm 2.8012 0.0000 2.6715
Cu 0.0000 0.0000 5.3430
Cu 0.0000 2.8012 2.6715
F 2.2030 1.1337 0.7549
F 1.6675 -0.5982 4.5880
F -1.0526 1.2859 2.1595
F 1.1337 3.3994 -0.7549
F 1.5153 1.7487 3.1834
F 0.5982 1.6675 6.0979
F 1.0526 4.3165 2.1595
F -1.5153 3.8538 3.1834

No. 16
10
Lattice="3.7041 -5.7094 0.0000 3.7041 5.7094 0.0000 -2.0933 0.0000 5.8555" Properties=species:S:1:pos:R:3 comment="PBE Au2Se3, optimized geometry" total_energy_ev_per_atom=-3.32 sg=Cc raw_formation_energy_ev_per_atom=0.083 pbc="T T T"
Au 2.6575 4.7239 2.9277
Au 4.3634 2.5068 0.8702
Au 3.3168 -2.5068 3.7979
Au 3.7041 -4.7239 0.0000
Se 1.9523 2.3004 3.4882
Se 2.2882 1.0520 1.4469
Se 1.2416 -1.0520 4.3747
Se 2.9990 -2.3004 0.5605
Se 5.4428 1.3397 2.9592
Se 6.4895 -1.3397 0.0315

No. 17
16
Lattice="1.7278 -5.9294 0.0000 1.7278 5.9294 0.0000 0.0000 0.0000 11.5828" Properties=species:S:1:pos:R:3 comment="PBE LaDy2RhN4, optimized geometry" total_energy_ev_per_atom=-7.84 sg=Cmcm raw_formation_energy_ev_per_atom=-0.993 pbc="T T T"
La 1.7278 4.6117 8.6871
La 1.7278 -4.6117 2.8957
Dy 1.7278 1.5398 6.3127
Dy 1.7278 1.5398 11.0615
Dy 1.7278 -1.5398 0.5213
Dy 1.7278 -1.5398 5.2701
Rh 1.7278 4.1510 2.8957
Rh 1.7278 -4.1510 8.6871
N 0.0000 0.0000 0.0000
N 0.0000 0.0000 5.7914
N 1.7278 2.7290 1.4505
N 1.7278 2.7290 4.3409
N 1.7278 0.6327 8.6871
N 1.7278 -0.6327 2.8957
N 1.7278 -2.7290 7.2419
N 1.7278 -2.7290 10.1323

No. 18
16
Lattice="6.7441 0.0000 0.0000 0.0000 6.7441 0.0000 0.0000 0.0000 6.7441" Properties=species:S:1:pos:R:3 comment="PBE LuPaFeRe, optimized geometry" total_energy_ev_per_atom=-8.75 sg=F-43m formation_energy_ev_per_atom=-0.015 pbc="T T T"
Lu 0.0000 0.0000 0.0000
Lu 0.0000 3.3721 3.3721
Lu 3.3721 0.0000 3.3721
Lu 3.3721 3.3721 0.0000
Pa 0.0000 0.0000 3.3721
Pa 0.0000 3.3721 0.0000
Pa 3.3721 0.0000 0.0000
Pa 3.3721 3.3721 3.3721
Fe 1.6860 1.6860 5.0581
Fe 1.6860 5.0581 1.6860
Fe 5.0581 1.6860 1.6860
Fe 5.0581 5.0581 5.0581
Re 1.6860 1.6860 1.6860
Re 1.6860 5.0581 5.0581
Re 5.0581 1.6860 5.0581
Re 5.0581 5.0581 1.6860

No. 19
8
Lattice="2.7917 0.0000 0.0000 0.0000 4.2651 0.0000 0.0000 0.0000 10.6762" Properties=species:S:1:pos:R:3 comment="PBE Re2SiCl, optimized geometry" total_energy_ev_per_atom=-7.48 polymorph_energy_ev_per_atom=0.293 sg=Immm raw_formation_energy_ev_per_atom=0.557 pbc="T T T"
Re 0.0000 0.0000 2.1380
Re 0.0000 0.0000 8.5382
Re 1.3959 2.1325 3.2001
Re 1.3959 2.1325 7.4761
Si 0.0000 2.1325 5.3381
Si 1.3959 0.0000 0.0000
Cl 0.0000 2.1325 0.0000
Cl 1.3959 0.0000 5.3381

No. 20
12
Lattice="7.7245 0.0000 0.0000 0.0000 7.7245 0.0000 0.0000 0.0000 7.7245" Properties=species:S:1:pos:R:3 comment="PBE CaEuTl, optimized geometry" total_energy_ev_per_atom=-5.07 polymorph_energy_ev_per_atom=0.111 sg=F-43m formation_energy_ev_per_atom=-0.192 pbc="T T T"
Ca 0.0000 0.0000 0.0000
Ca 0.0000 3.8622 3.8622
Ca 3.8622 0.0000 3.8622
Ca 3.8622 3.8622 0.0000
Eu 0.0000 0.0000 3.8622
Eu 0.0000 3.8622 0.0000
Eu 3.8622 0.0000 0.0000
Eu 3.8622 3.8622 3.8622
Tl 1.9311 1.9311 5.7933
Tl 1.9311 5.7933 1.9311
Tl 5.7933 1.9311 1.9311
Tl 5.7933 5.7933 5.7933